1.
Material: Tb7O12
Method: DFT, GGA-PBE
State: relaxed

Cell lengths 6.642, 6.642, 6.642 Å; angles 99.54, 99.54, 99.54 degrees
Positions (direct):
Tb (0.000, 0.000, 0.000)
Tb (0.138, 0.301, 0.608)
Tb (0.301, 0.608, 0.138)
Tb (0.392, 0.862, 0.699)
Tb (0.608, 0.138, 0.301)
Tb (0.699, 0.392, 0.862)
Tb (0.862, 0.699, 0.392)
O (0.064, 0.326, 0.934)
O (0.066, 0.936, 0.674)
O (0.179, 0.578, 0.437)
O (0.326, 0.934, 0.064)
O (0.422, 0.563, 0.821)
O (0.437, 0.179, 0.578)
O (0.563, 0.821, 0.422)
O (0.578, 0.437, 0.179)
O (0.674, 0.066, 0.936)
O (0.821, 0.422, 0.563)
O (0.934, 0.064, 0.326)
O (0.936, 0.674, 0.066)

Results
**VASP energy**: -8.008 eV/atom
**Formation energy without anion corrections**: -60.25 eV/f.u.
**SG**: R-3 (148)

2.
Material: Tb3O2
Method: DFT, GGA-PBE
State: relaxed

Cell lengths 6.617, 6.617, 6.617 Å; angles 54.71, 54.71, 54.71 degrees
Positions (direct):
Tb (0.078, 0.750, 0.422)
Tb (0.250, 0.578, 0.922)
Tb (0.422, 0.078, 0.750)
Tb (0.578, 0.922, 0.250)
Tb (0.750, 0.422, 0.078)
Tb (0.922, 0.250, 0.578)
O (0.165, 0.165, 0.165)
O (0.335, 0.335, 0.335)
O (0.665, 0.665, 0.665)
O (0.835, 0.835, 0.835)

Results
**VASP energy**: -6.957 eV/atom
**Formation energy without anion corrections**: -10.98 eV/f.u.
**SG**: R-3c (167)

3.
Material: Tb2O
Method: DFT, GGA-PBE
State: relaxed

Cell lengths 3.540, 3.540, 6.153 Å; angles 106.95, 106.95, 59.94 degrees
Positions (direct):
Tb (0.245, 0.245, 0.230)
Tb (0.755, 0.755, 0.770)
O (0.500, 0.500, 0.000)

Results
**VASP energy**: -6.519 eV/atom
**Formation energy without anion corrections**: -5.34 eV/f.u.
**SG**: C2/m (12)

4.
Material: Tb3TcO7
Method: DFT, GGA-PBE
State: relaxed

Cell lengths 6.501, 6.501, 7.450 Å; angles 90.00, 90.00, 108.50 degrees
Positions (direct):
Tb (0.038, 0.499, 0.259)
Tb (0.041, 0.041, 0.000)
Tb (0.499, 0.038, 0.741)
Tb (0.501, 0.962, 0.241)
Tb (0.959, 0.959, 0.500)
Tb (0.962, 0.501, 0.759)
Tc (0.498, 0.498, 0.500)
Tc (0.502, 0.502, 0.000)
O (0.130, 0.870, 0.750)
O (0.138, 0.862, 0.250)
O (0.174, 0.419, 0.976)
O (0.197, 0.454, 0.541)
O (0.419, 0.174, 0.024)
O (0.430, 0.570, 0.250)
O (0.454, 0.197, 0.459)
O (0.546, 0.803, 0.959)
O (0.570, 0.430, 0.750)
O (0.581, 0.826, 0.524)
O (0.803, 0.546, 0.041)
O (0.826, 0.581, 0.476)
O (0.862, 0.138, 0.750)
O (0.870, 0.130, 0.250)

Results
**VASP energy**: -8.246 eV/atom
**Formation energy without anion corrections**: -31.75 eV/f.u.
**SG**: C222_1 (20)

5.
Material: TbTcO5
Method: DFT, GGA-PBE
State: relaxed

Cell lengths 5.518, 5.518, 7.572 Å; angles 110.15, 110.15, 70.46 degrees
Positions (direct):
Tb (0.055, 0.945, 0.750)
Tb (0.945, 0.055, 0.250)
Tc (0.500, 0.500, 0.000)
Tc (0.500, 0.500, 0.500)
O (0.195, 0.777, 0.038)
O (0.223, 0.805, 0.462)
O (0.257, 0.297, 0.384)
O (0.297, 0.257, 0.884)
O (0.425, 0.575, 0.750)
O (0.575, 0.425, 0.250)
O (0.703, 0.743, 0.116)
O (0.743, 0.703, 0.616)
O (0.777, 0.195, 0.538)
O (0.805, 0.223, 0.962)

Results
**Offset from the most stable computed form**: 46 meV/atom
**VASP energy**: -7.687 eV/atom
**Formation energy without anion corrections**: -14.02 eV/f.u.
**SG**: C2/c (15)

6.
Material: Tb3TcO6
Method: DFT, GGA-PBE
State: relaxed

Cell lengths 6.552, 6.552, 6.552 Å; angles 98.21, 98.21, 98.21 degrees
Positions (direct):
Tb (0.104, 0.786, 0.613)
Tb (0.214, 0.387, 0.896)
Tb (0.387, 0.896, 0.214)
Tb (0.613, 0.104, 0.786)
Tb (0.786, 0.613, 0.104)
Tb (0.896, 0.214, 0.387)
Tc (0.000, 0.000, 0.000)
Tc (0.500, 0.500, 0.500)
O (0.066, 0.922, 0.306)
O (0.078, 0.694, 0.934)
O (0.194, 0.437, 0.552)
O (0.306, 0.066, 0.922)
O (0.437, 0.552, 0.194)
O (0.448, 0.806, 0.563)
O (0.552, 0.194, 0.437)
O (0.563, 0.448, 0.806)
O (0.694, 0.934, 0.078)
O (0.806, 0.563, 0.448)
O (0.922, 0.306, 0.066)
O (0.934, 0.078, 0.694)

Results
**VASP energy**: -8.316 eV/atom
**Formation energy without anion corrections**: -29.15 eV/f.u.
**SG**: R-3 (148)

7.
Material: Tb12Tc3O5
Method: DFT, GGA-PBE
State: relaxed

Cell lengths 13.195, 13.195, 13.195 Å; angles 109.47, 109.47, 109.47 degrees
Positions (direct):
Tb (0.024, 0.206, 0.121)
Tb (0.024, 0.317, 0.902)
Tb (0.085, 0.706, 0.683)
Tb (0.085, 0.879, 0.402)
Tb (0.098, 0.621, 0.415)
Tb (0.098, 0.976, 0.683)
Tb (0.121, 0.024, 0.206)
Tb (0.121, 0.598, 0.915)
Tb (0.183, 0.206, 0.585)
Tb (0.183, 0.476, 0.598)
Tb (0.206, 0.121, 0.024)
Tb (0.206, 0.585, 0.183)
Tb (0.294, 0.317, 0.915)
Tb (0.294, 0.476, 0.379)
Tb (0.317, 0.902, 0.024)
Tb (0.317, 0.915, 0.294)
Tb (0.379, 0.294, 0.476)
Tb (0.379, 0.585, 0.902)
Tb (0.402, 0.085, 0.879)
Tb (0.402, 0.817, 0.524)
Tb (0.415, 0.098, 0.621)
Tb (0.415, 0.817, 0.794)
Tb (0.476, 0.379, 0.294)
Tb (0.476, 0.598, 0.183)
Tb (0.524, 0.402, 0.817)
Tb (0.524, 0.621, 0.706)
Tb (0.585, 0.183, 0.206)
Tb (0.585, 0.902, 0.379)
Tb (0.598, 0.183, 0.476)
Tb (0.598, 0.915, 0.121)
Tb (0.621, 0.415, 0.098)
Tb (0.621, 0.706, 0.524)
Tb (0.683, 0.085, 0.706)
Tb (0.683, 0.098, 0.976)
Tb (0.706, 0.524, 0.621)
Tb (0.706, 0.683, 0.085)
Tb (0.794, 0.415, 0.817)
Tb (0.794, 0.879, 0.976)
Tb (0.817, 0.524, 0.402)
Tb (0.817, 0.794, 0.415)
Tb (0.879, 0.402, 0.085)
Tb (0.879, 0.976, 0.794)
Tb (0.902, 0.024, 0.317)
Tb (0.902, 0.379, 0.585)
Tb (0.915, 0.121, 0.598)
Tb (0.915, 0.294, 0.317)
Tb (0.976, 0.683, 0.098)
Tb (0.976, 0.794, 0.879)
Tc (0.125, 0.250, 0.375)
Tc (0.125, 0.375, 0.750)
Tc (0.250, 0.375, 0.125)
Tc (0.250, 0.875, 0.625)
Tc (0.375, 0.125, 0.250)
Tc (0.375, 0.750, 0.125)
Tc (0.625, 0.250, 0.875)
Tc (0.625, 0.875, 0.750)
Tc (0.750, 0.125, 0.375)
Tc (0.750, 0.625, 0.875)
Tc (0.875, 0.625, 0.250)
Tc (0.875, 0.750, 0.625)
O (0.000, 0.000, 0.000)
O (0.000, 0.000, 0.500)
O (0.000, 0.500, 0.000)
O (0.000, 0.500, 0.500)
O (0.125, 0.750, 0.875)
O (0.125, 0.875, 0.250)
O (0.250, 0.125, 0.875)
O (0.250, 0.625, 0.375)
O (0.375, 0.250, 0.625)
O (0.375, 0.625, 0.750)
O (0.500, 0.000, 0.000)
O (0.500, 0.000, 0.500)
O (0.500, 0.500, 0.000)
O (0.500, 0.500, 0.500)
O (0.625, 0.375, 0.250)
O (0.625, 0.750, 0.375)
O (0.750, 0.375, 0.625)
O (0.750, 0.875, 0.125)
O (0.875, 0.125, 0.750)
O (0.875, 0.250, 0.125)

Results
**VASP energy**: -6.978 eV/atom
**Formation energy without anion corrections**: -28.11 eV/f.u.
**SG**: Ia-3d (230)

8.
Material: TbTcO5
Method: DFT, GGA-PBE
State: relaxed

Cell lengths 5.730, 5.730, 8.798 Å; angles 108.50, 108.50, 88.02 degrees
Positions (direct):
Tb (0.000, 0.000, 0.000)
Tb (0.000, 0.000, 0.500)
Tc (0.320, 0.680, 0.750)
Tc (0.680, 0.320, 0.250)
O (0.069, 0.931, 0.750)
O (0.243, 0.688, 0.939)
O (0.250, 0.360, 0.647)
O (0.312, 0.757, 0.561)
O (0.360, 0.250, 0.147)
O (0.640, 0.750, 0.853)
O (0.688, 0.243, 0.439)
O (0.750, 0.640, 0.353)
O (0.757, 0.312, 0.061)
O (0.931, 0.069, 0.250)

Results
**Offset from the most stable computed form**: 0 meV/atom
**VASP energy**: -7.733 eV/atom
**Formation energy without anion corrections**: -14.35 eV/f.u.
**SG**: C2/c (15)